## Cs2CaHg (PBE)

Data for an optimized crystal structure of Cs2CaHg.

Cell: 13.460 13.460 6.248 Å, 90.00 90.00 90.00°
Space group I-42d (No. 122)
Asymmetric unit:
Cs 0.114 0.750 0.125 [8 per cell]
Ca 0.000 0.000 0.500 [4 per cell]
Hg 0.000 0.000 0.000 [4 per cell]

Summary:
- Energy above the lowest structure with this stoichiometry: 0 meV per atom
- Energy relative to the elements: 0.035 eV per atom
- Theoretical density: 3.0 g/cm3

## CsCaHg2 (PBE)

Data for an optimized crystal structure of CsCaHg2.

Cell: 4.4204 4.4204 28.3414 Å, 90.00 90.00 120.00°
Space group R-3m (No. 166, hexagonal axes)
Asymmetric unit:
Cs 0.0000 0.0000 0.0000 [3 per cell]
Ca 0.0000 0.0000 0.5000 [3 per cell]
Hg 0.0000 0.0000 0.2345 [6 per cell]

Summary:
- Energy above the lowest structure with this stoichiometry: 78 meV per atom
- Energy relative to the elements: -0.217 eV per atom
- Theoretical density: 6.0 g/cm3

## CsCaHgI2 (PBE)

Data for an optimized crystal structure of CsCaHgI2.

Cell: 6.273 6.273 6.251 Å, 90.00 90.00 90.00°
Space group P4/mmm (No. 123)
Asymmetric unit:
Cs 0.000 0.000 0.000 [1 per cell]
Ca 0.500 0.500 0.500 [1 per cell]
Hg 0.500 0.500 0.000 [1 per cell]
I 0.000 0.500 0.500 [2 per cell]

Summary:
- Electronic total energy: -2.258 eV/atom
- Theoretical density: 4.2 g/cm3

## Cs2CaHgI6 (PBE)

Data for an optimized crystal structure of Cs2CaHgI6.

Cell: 8.7761 8.7761 20.7282 Å, 90.00 90.00 120.00°
Space group R3 (No. 146, hexagonal axes)
Asymmetric unit:
Cs 0.0000 0.0000 0.0000 [3 per cell]
Cs 0.0000 0.0000 0.4975 [3 per cell]
Ca 0.0000 0.0000 0.7479 [3 per cell]
Hg 0.0000 0.0000 0.2480 [3 per cell]
I 0.0054 0.4465 0.9977 [9 per cell]
I 0.1131 0.7743 0.8316 [9 per cell]

Summary:
- Electronic total energy: -2.481 eV/atom
- Theoretical density: 4.6 g/cm3

## Cs2CaHgIr (PBE)

Data for an optimized crystal structure of Cs2CaHgIr.

Cell: 6.710 6.710 5.379 Å, 90.00 90.00 90.00°
Space group P4/mmm (No. 123)
Asymmetric unit:
Cs 0.000 0.500 0.000 [2 per cell]
Ca 0.000 0.000 0.500 [1 per cell]
Hg 0.500 0.500 0.500 [1 per cell]
Ir 0.000 0.000 0.000 [1 per cell]

Summary:
- Energy relative to the elements: 0.315 eV per atom
- Theoretical density: 4.8 g/cm3

## CsCa2HgIr (PBE)

Data for an optimized crystal structure of CsCa2HgIr.

Cell: 5.584 5.584 5.591 Å, 90.00 90.00 90.00°
Space group P4/mmm (No. 123)
Asymmetric unit:
Cs 0.000 0.000 0.000 [1 per cell]
Ca 0.000 0.500 0.500 [2 per cell]
Hg 0.500 0.500 0.000 [1 per cell]
Ir 0.500 0.500 0.500 [1 per cell]

Summary:
- Energy relative to the elements: -0.089 eV per atom
- Theoretical density: 5.8 g/cm3

## CsK2CaHg (PBE)

Data for an optimized crystal structure of CsK2CaHg.

Cell: 6.925 6.925 6.222 Å, 90.00 90.00 90.00°
Space group P4/mmm (No. 123)
Asymmetric unit:
Cs 0.000 0.000 0.000 [1 per cell]
K 0.000 0.500 0.500 [2 per cell]
Ca 0.500 0.500 0.000 [1 per cell]
Hg 0.500 0.500 0.500 [1 per cell]

Summary:
- Energy relative to the elements: -0.044 eV per atom
- Theoretical density: 2.5 g/cm3

## CsNaCa2Hg (PBE)

Data for an optimized crystal structure of CsNaCa2Hg.

Cell: 6.054 6.054 6.430 Å, 90.00 90.00 90.00°
Space group P4/mmm (No. 123)
Asymmetric unit:
Cs 0.000 0.000 0.000 [1 per cell]
Na 0.500 0.500 0.000 [1 per cell]
Ca 0.000 0.500 0.500 [2 per cell]
Hg 0.500 0.500 0.500 [1 per cell]

Summary:
- Energy relative to the elements: -0.050 eV per atom
- Theoretical density: 3.1 g/cm3

## CsRb2CaHg (PBE)

Data for an optimized crystal structure of CsRb2CaHg.

Cell: 7.226 7.226 6.280 Å, 90.00 90.00 90.00°
Space group P4/mmm (No. 123)
Asymmetric unit:
Cs 0.000 0.000 0.000 [1 per cell]
Rb 0.000 0.500 0.500 [2 per cell]
Ca 0.500 0.500 0.000 [1 per cell]
Hg 0.500 0.500 0.500 [1 per cell]

Summary:
- Energy relative to the elements: -0.029 eV per atom
- Theoretical density: 2.8 g/cm3

## CsCa2ReHg (PBE)

Data for an optimized crystal structure of CsCa2ReHg.

Cell: 5.920 5.920 5.376 Å, 90.00 90.00 90.00°
Space group P4/mmm (No. 123)
Asymmetric unit:
Cs 0.000 0.000 0.000 [1 per cell]
Ca 0.000 0.500 0.500 [2 per cell]
Re 0.500 0.500 0.000 [1 per cell]
Hg 0.500 0.500 0.500 [1 per cell]

Summary:
- Energy relative to the elements: 0.902 eV per atom
- Theoretical density: 5.3 g/cm3

## Cs2CaHg2S4 (PBE)

Data for an optimized crystal structure of Cs2CaHg2S4.

Cell: 16.404 4.276 8.155 Å, 90.00 107.93 90.00°
Space group C2/m (No. 12)
Asymmetric unit:
Cs 0.127 0.000 0.052 [4 per cell]
Ca 0.000 0.000 0.500 [2 per cell]
Hg 0.162 0.500 0.487 [4 per cell]
S 0.015 0.500 0.274 [4 per cell]
S 0.205 0.000 0.676 [4 per cell]

Summary:
- Electronic total energy: -3.269 eV/atom
- Theoretical density: 5.1 g/cm3

## CsCaHgSe2 (PBE)

Data for an optimized crystal structure of CsCaHgSe2.

Cell: 8.366 6.037 7.939 Å, 90.00 102.39 90.00°
Space group P2/c (No. 13)
Asymmetric unit:
Cs 0.000 0.188 0.250 [2 per cell]
Ca 0.500 0.489 0.750 [2 per cell]
Hg 0.500 0.000 0.000 [2 per cell]
Se 0.271 0.341 0.952 [4 per cell]

Summary:
- Electronic total energy: -3.012 eV/atom
- Theoretical density: 4.5 g/cm3